No. 1
Entry from Alexandria: an optimized crystal structure of In6GaPd12 (GGA-PBE).

a = 11.7960 Å, b = 11.7960 Å, c = 8.5059 Å
α = 90.00°, β = 90.00°, γ = 120.00°
Space group R-3 (No. 148, hexagonal axes)
Symmetry-distinct sites (fractional):
In (0.0484, 0.8314, 0.2387)
Ga (0.0000, 0.0000, 0.5000)
Pd (0.0491, 0.8184, 0.5807)
Pd (0.0577, 0.8203, 0.9200)

Results
V, Å³ per atom: 18.0
Total DFT energy (no corrections), eV/atom: -4.734

***

No. 2
Entry from Alexandria: an optimized crystal structure of InGa2Pd7 (GGA-PBE).

a = 7.352 Å, b = 12.188 Å, c = 4.403 Å
α = 90.00°, β = 90.00°, γ = 90.00°
Space group Cmmm (No. 65)
Symmetry-distinct sites (fractional):
In (0.000, 0.000, 0.000)
Ga (0.000, 0.301, 0.500)
Pd (0.000, 0.219, 0.000)
Pd (0.000, 0.500, 0.500)
Pd (0.187, 0.118, 0.500)

Results
E above lowest polymorph, kJ/mol of atoms: 35.3
V, Å³ per atom: 19.7
Total DFT energy (no corrections), eV/atom: -4.643

***

No. 3
Entry from Alexandria: an optimized crystal structure of In5GaPd6 (GGA-PBE).

a = 4.594 Å, b = 6.604 Å, c = 7.301 Å
α = 90.00°, β = 108.07°, γ = 90.00°
Space group P2/m (No. 10)
Symmetry-distinct sites (fractional):
In (0.000, 0.000, 0.000)
In (0.330, 0.500, 0.659)
In (0.331, 0.000, 0.661)
Ga (0.000, 0.500, 0.000)
Pd (0.154, 0.260, 0.309)
Pd (0.500, 0.266, 0.000)

Results
V, Å³ per atom: 17.5
Total DFT energy (no corrections), eV/atom: -4.487

***

No. 4
Entry from Alexandria: an optimized crystal structure of InGaPd14 (GGA-PBE).

a = 5.688 Å, b = 5.688 Å, c = 7.691 Å
α = 90.00°, β = 90.00°, γ = 90.00°
Space group P4/mmm (No. 123)
Symmetry-distinct sites (fractional):
In (0.000, 0.000, 0.000)
Ga (0.500, 0.500, 0.000)
Pd (0.000, 0.000, 0.500)
Pd (0.000, 0.500, 0.000)
Pd (0.000, 0.500, 0.500)
Pd (0.253, 0.253, 0.247)
Pd (0.500, 0.500, 0.500)

Results
V, Å³ per atom: 15.6
Total DFT energy (no corrections), eV/atom: -5.122